(1)
# Sn2Ge2Pd3, relaxed, DFT GGA-PBE
data_Sn2Ge2Pd3
_chemical_formula_sum 'Sn6 Ge6 Pd9'
_cell_length_a 4.5603
_cell_length_b 4.5603
_cell_length_c 22.4590
_cell_angle_alpha 90.00
_cell_angle_beta 90.00
_cell_angle_gamma 120.00
_space_group_name_H-M_alt 'R 3 m'
_space_group_IT_number 160
_space_group_name_Hall 'R 3 -2"'
loop_
_atom_site_label
_atom_site_fract_x
_atom_site_fract_y
_atom_site_fract_z
Sn1 0.0000 0.0000 0.0000
Sn2 0.0000 0.0000 0.4913
Ge1 0.0000 0.0000 0.2396
Ge2 0.0000 0.0000 0.7483
Pd1 0.0000 0.0000 0.3689
Pd2 0.0000 0.0000 0.6192
Pd3 0.0000 0.0000 0.8714
# Theoretical density in g/cm3: 8.65

=====

(2)
# LaMgCdAu2, relaxed, DFT GGA-PBE
data_LaMgCdAu2
_chemical_formula_sum 'La2 Mg2 Cd2 Au4'
_cell_length_a 4.213
_cell_length_b 4.213
_cell_length_c 13.236
_cell_angle_alpha 90.00
_cell_angle_beta 90.00
_cell_angle_gamma 90.00
_space_group_name_H-M_alt 'I -4 m 2'
_space_group_IT_number 119
_space_group_name_Hall 'I -4 -2'
loop_
_atom_site_label
_atom_site_fract_x
_atom_site_fract_y
_atom_site_fract_z
La1 0.000 0.000 0.000
Mg1 0.000 0.500 0.750
Cd1 0.000 0.500 0.250
Au1 0.000 0.000 0.394
# Theoretical density in g/cm3: 9.47

=====

(3)
# SmTmSi2Os, relaxed, DFT GGA-PBE
data_SmTmSi2Os
_chemical_formula_sum 'Sm4 Tm4 Si8 Os4'
_cell_length_a 10.912
_cell_length_b 4.232
_cell_length_c 10.058
_cell_angle_alpha 90.00
_cell_angle_beta 119.80
_cell_angle_gamma 90.00
_space_group_name_H-M_alt 'C 1 2/m 1'
_space_group_IT_number 12
loop_
_space_group_symop_operation_xyz
'x,y,z'
'-x,-y,-z'
'-x,y,-z'
'x,-y,z'
'x+1/2,y+1/2,z'
'-x+1/2,-y+1/2,-z'
'-x+1/2,y+1/2,-z'
'x+1/2,-y+1/2,z'
loop_
_atom_site_label
_atom_site_fract_x
_atom_site_fract_y
_atom_site_fract_z
Sm1 0.014 0.000 0.182
Tm1 0.179 0.000 0.610
Si1 0.001 0.500 0.376
Si2 0.150 0.500 0.063
Os1 0.227 0.500 0.872
# Excess energy over the best structure of this formula in the dataset in kcal/mol of atoms: 0.69
# Theoretical density in g/cm3: 9.32

=====

(4)
# Nd3HoCu4, relaxed, DFT GGA-PBE
data_Nd3HoCu4
_chemical_formula_sum 'Nd3 Ho1 Cu4'
_cell_length_a 5.486
_cell_length_b 4.512
_cell_length_c 7.229
_cell_angle_alpha 90.00
_cell_angle_beta 90.88
_cell_angle_gamma 90.00
_space_group_name_H-M_alt 'P 1 m 1'
_space_group_IT_number 6
loop_
_space_group_symop_operation_xyz
'x,y,z'
'x,-y,z'
loop_
_atom_site_label
_atom_site_fract_x
_atom_site_fract_y
_atom_site_fract_z
Nd1 0.000 0.000 0.000
Nd2 0.239 0.000 0.494
Nd3 0.736 0.500 0.636
Ho1 0.501 0.500 0.137
Cu1 0.249 0.500 0.791
Cu2 0.490 0.000 0.860
Cu3 0.737 0.000 0.343
Cu4 0.991 0.500 0.280
# Energy of formation in eV/f.u.: -1.589
# Theoretical density in g/cm3: 7.91

=====

(5)
# Gd2TmAl2Zn3Cd, relaxed, DFT GGA-PBE
data_Gd2TmAl2Zn3Cd
_chemical_formula_sum 'Gd4 Tm2 Al4 Zn6 Cd2'
_cell_length_a 4.470
_cell_length_b 12.113
_cell_length_c 7.066
_cell_angle_alpha 90.00
_cell_angle_beta 90.00
_cell_angle_gamma 90.00
_space_group_name_H-M_alt 'A m m 2'
_space_group_IT_number 38
loop_
_space_group_symop_operation_xyz
'x,y,z'
'-x,-y,z'
'-x,y,z'
'x,-y,z'
'x,y+1/2,z+1/2'
'-x,-y+1/2,z+1/2'
'-x,y+1/2,z+1/2'
'x,-y+1/2,z+1/2'
loop_
_atom_site_label
_atom_site_fract_x
_atom_site_fract_y
_atom_site_fract_z
Gd1 0.000 0.215 0.000
Tm1 0.000 0.000 0.352
Al1 0.500 0.165 0.284
Zn1 0.500 0.000 0.033
Zn2 0.500 0.124 0.658
Cd1 0.000 0.000 0.778
# Theoretical density in g/cm3: 7.34

=====

(6)
# YGaFeAg, relaxed, DFT GGA-PBE
data_YGaFeAg
_chemical_formula_sum 'Y4 Ga4 Fe4 Ag4'
_cell_length_a 6.659
_cell_length_b 6.659
_cell_length_c 6.659
_cell_angle_alpha 90.00
_cell_angle_beta 90.00
_cell_angle_gamma 90.00
_space_group_name_H-M_alt 'F -4 3 m'
_space_group_IT_number 216
_space_group_name_Hall 'F -4 2 3'
loop_
_atom_site_label
_atom_site_fract_x
_atom_site_fract_y
_atom_site_fract_z
Y1 0.000 0.000 0.000
Ga1 0.000 0.000 0.500
Fe1 0.250 0.250 0.750
Ag1 0.250 0.250 0.250
# Excess energy over the best structure of this formula in the dataset in kcal/mol of atoms: 1.22
# Theoretical density in g/cm3: 7.25

=====

| no. | uncorrected energy (eV for the cell shown) |
| --- | --- |
| 1 | -103.9 |
| 2 | -34.1 |
| 3 | -140.0 |
| 4 | -35.3 |
| 5 | -58.7 |
| 6 | -82.5 |